DFT (PBE) results for an optimized crystal structure of Na3GaAg.

Summary:
- Uncorrected energy: -1.690 eV/atom
- Magnetization: 0.00 μB/cell
- SG: Pm-3m, No. 221
- ΔH_f (0 K): 277 meV per atom
- Distance to the lowest polymorph of the same formula: 0.250 eV/atom

```
Na3GaAg
1.0
5.537 0.000 0.000
0.000 5.537 0.000
0.000 0.000 5.537
Na Ga Ag
3 1 1
Cartesian
0.000 0.000 2.768 Na
0.000 2.768 0.000 Na
2.768 0.000 0.000 Na
2.768 2.768 2.768 Ga
0.000 0.000 0.000 Ag
```